1.
The following is a DFT calculation (GGA-PBEsol) of a relaxed structure of CaNbNO2.

Geometry as POSCAR:
```
CaNbNO2
1.0
5.513 0.000 0.000
0.000 5.665 0.000
-5.469 0.000 7.858
Ca Nb N O
4 4 4 8
direct
0.231 0.049 0.246 Ca
0.231 0.451 0.746 Ca
0.769 0.549 0.254 Ca
0.769 0.951 0.754 Ca
0.000 0.000 0.500 Nb
0.000 0.500 0.000 Nb
0.500 0.000 0.000 Nb
0.500 0.500 0.500 Nb
0.162 0.211 0.953 N
0.162 0.289 0.453 N
0.838 0.711 0.547 N
0.838 0.789 0.047 N
0.236 0.709 0.944 O
0.236 0.791 0.444 O
0.347 0.027 0.750 O
0.347 0.473 0.250 O
0.653 0.527 0.750 O
0.653 0.973 0.250 O
0.764 0.209 0.556 O
0.764 0.291 0.056 O
```

- Total magnetization: 0.00 Bohr magnetons per cell
- Crystal system: monoclinic
- E_form (uncorrected): -2230 meV per atom
- Raw total energy: -8.6255 eV per atom


2.
The following is a DFT calculation (GGA-PBEsol) of a relaxed structure of RbTcCl2.

Geometry as POSCAR:
```
RbTcCl2
1.0
4.086 0.000 0.000
-2.043 3.539 0.000
0.000 0.000 26.201
Rb Tc Cl
3 3 6
direct
0.000 0.000 0.000 Rb
0.333 0.667 0.667 Rb
0.667 0.333 0.333 Rb
0.000 0.000 0.500 Tc
0.333 0.667 0.167 Tc
0.667 0.333 0.833 Tc
0.000 0.000 0.411 Cl
0.000 0.000 0.589 Cl
0.333 0.667 0.078 Cl
0.333 0.667 0.255 Cl
0.667 0.333 0.745 Cl
0.667 0.333 0.922 Cl
```

- Total magnetization: 12.00 Bohr magnetons per cell
- Crystal system: trigonal
- DOS at the Fermi energy: 3.16 states/eV/cell
- E_form (uncorrected): -182 meV per atom
- Raw total energy: -4.2587 eV per atom


3.
The following is a DFT calculation (GGA-PBEsol) of a relaxed structure of RuN2.

Geometry as POSCAR:
```
RuN2
1.0
4.062 0.000 0.000
0.000 4.856 0.000
0.000 0.000 2.672
Ru N
2 4
direct
0.000 0.000 0.000 Ru
0.500 0.500 0.500 Ru
0.123 0.407 0.000 N
0.377 0.907 0.500 N
0.623 0.093 0.500 N
0.877 0.593 0.000 N
```

- Total magnetization: 0.00 Bohr magnetons per cell
- Crystal system: orthorhombic
- DOS at the Fermi energy: 2.88 states/eV/cell
- E_form (uncorrected): 130 meV per atom
- Raw total energy: -8.9452 eV per atom


4.
The following is a DFT calculation (GGA-PBEsol) of a relaxed structure of SiTc2Te.

Geometry as POSCAR:
```
SiTc2Te
1.0
4.374 0.000 0.000
0.000 4.374 0.000
0.000 0.000 3.115
Si Tc Te
1 2 1
direct
0.000 0.000 0.000 Si
0.000 0.500 0.500 Tc
0.500 0.000 0.500 Tc
0.500 0.500 0.000 Te
```

- Total magnetization: 0.00 Bohr magnetons per cell
- Energy above the lowest structure with this stoichiometry: 0.0000 eV per atom
- Crystal system: tetragonal
- DOS at the Fermi energy: 2.34 states/eV/cell
- E_form (uncorrected): -16 meV per atom
- Raw total energy: -7.9675 eV per atom


5.
The following is a DFT calculation (GGA-PBEsol) of a relaxed structure of AlZn2Cl.

Geometry as POSCAR:
```
AlZn2Cl
1.0
2.883 0.000 0.000
0.000 4.618 0.000
0.000 0.000 5.193
Al Zn Cl
1 2 1
direct
0.000 0.000 0.000 Al
0.000 0.500 0.500 Zn
0.500 0.000 0.500 Zn
0.500 0.500 0.000 Cl
```

- Total magnetization: 0.00 Bohr magnetons per cell
- Energy above the lowest structure with this stoichiometry: 0.1417 eV per atom
- Crystal system: orthorhombic
- DOS at the Fermi energy: 1.19 states/eV/cell
- E_form (uncorrected): 12 meV per atom
- Raw total energy: -2.3038 eV per atom


6.
The following is a DFT calculation (GGA-PBEsol) of a relaxed structure of Ca2TaNbTe.

Geometry as POSCAR:
```
Ca2TaNbTe
1.0
5.454 0.000 0.000
0.000 5.454 0.000
0.000 0.000 5.136
Ca Ta Nb Te
2 1 1 1
direct
0.000 0.500 0.000 Ca
0.500 0.000 0.000 Ca
0.000 0.000 0.500 Ta
0.500 0.500 0.000 Nb
0.500 0.500 0.500 Te
```

- Total magnetization: 3.03 Bohr magnetons per cell
- Crystal system: tetragonal
- DOS at the Fermi energy: 5.99 states/eV/cell
- E_form (uncorrected): 1400 meV per atom
- Raw total energy: -4.8332 eV per atom